(1)
K2RbNaLi | the Alexandria database | PBE | relaxed; space group = No. 123; polymorph energy (0 for the lowest one) = 0.040 eV/atom
1.0
-0.070 -5.219 -4.852
7.123 -0.204 0.116
-0.193 -4.198 4.518
Na K Rb Li
1 2 1 1
Direct
0.000 0.000 0.000 Na
0.000 0.500 0.000 K
0.500 0.000 0.000 K
0.500 0.500 0.500 Rb
0.000 0.000 0.500 Li

(2)
Pu2SnH2 | the Alexandria database | PBE | relaxed; space group = No. 15; polymorph energy (0 for the lowest one) = 0.325 eV/atom
1.0
3.490 0.000 0.000
0.000 7.058 -0.365
-1.745 -2.354 6.268
Pu Sn H
4 2 4
Direct
0.937 0.211 0.375 Pu
0.438 0.711 0.375 Pu
0.063 0.789 0.625 Pu
0.562 0.289 0.625 Pu
0.751 0.750 0.000 Sn
0.249 0.250 0.000 Sn
0.075 0.493 0.651 H
0.423 0.007 0.349 H
0.925 0.507 0.349 H
0.577 0.993 0.651 H

(3)
CeNdGa2 | the Alexandria database | PBE | relaxed; space group = No. 166
1.0
-1.617 -2.211 -2.518
1.903 -2.833 -1.483
-2.797 -7.076 5.259
Nd Ga Ce
1 2 1
Direct
0.500 0.500 0.500 Nd
0.749 0.749 0.752 Ga
0.251 0.251 0.248 Ga
0.000 0.000 0.000 Ce

(4)
CrAuCl | the Alexandria database | PBE | relaxed; space group = No. 156; polymorph energy (0 for the lowest one) = 0.000 eV/atom; formation energy (no corrections) = -41 kJ/mol of formula units
1.0
-1.151 -1.047 -3.076
3.358 -0.219 0.750
-0.875 -5.677 2.259
Cr Au Cl
1 1 1
Direct
0.667 0.333 0.651 Cr
0.000 0.000 0.938 Au
0.333 0.667 0.410 Cl

(5)
Tl3Cd2Hg4 | the Alexandria database | PBE | relaxed; space group = No. 12; polymorph energy (0 for the lowest one) = 0.000 eV/atom
1.0
5.103 0.001 0.000
2.550 5.277 1.103
0.000 0.089 9.384
Tl Cd Hg
3 2 4
Direct
0.637 0.727 0.737 Tl
0.000 0.000 0.000 Tl
0.363 0.273 0.263 Tl
0.700 0.601 0.407 Cd
0.300 0.399 0.593 Cd
0.691 0.619 0.087 Hg
0.309 0.381 0.913 Hg
0.954 0.091 0.646 Hg
0.046 0.909 0.354 Hg

(6)
La5PrHo3 | the Alexandria database | PBE | relaxed; space group = No. 15; polymorph energy (0 for the lowest one) = 0.000 eV/atom
1.0
-2.193 -6.231 -0.412
11.263 -0.203 -3.719
-4.046 0.716 10.707
La Pr Ho
10 2 6
Direct
0.403 0.000 0.750 La
0.657 0.660 0.020 La
0.865 0.338 0.125 La
0.343 0.340 0.980 La
0.527 0.662 0.375 La
0.597 0.000 0.250 La
0.003 0.660 0.520 La
0.997 0.340 0.480 La
0.473 0.338 0.625 La
0.135 0.662 0.875 La
0.861 0.000 0.750 Pr
0.139 0.000 0.250 Pr
0.000 0.000 0.000 Ho
0.453 0.321 0.307 Ho
0.000 0.000 0.500 Ho
0.547 0.679 0.693 Ho
0.867 0.321 0.807 Ho
0.133 0.679 0.193 Ho

(7)
SrScCr2 | the Alexandria database | PBE | relaxed; space group = No. 123; polymorph energy (0 for the lowest one) = 0.645 eV/atom
1.0
-1.103 -2.601 -0.227
2.591 -1.121 0.251
-1.080 -0.370 9.485
Cr Sc Sr
2 1 1
Direct
0.000 0.000 0.029 Cr
0.000 0.000 0.471 Cr
0.500 0.500 0.250 Sc
0.500 0.500 0.750 Sr

(8)
Sm3ErIn4 | the Alexandria database | PBE | relaxed; space group = No. 123; polymorph energy (0 for the lowest one) = 0.000 eV/atom
1.0
3.795 0.000 0.000
0.000 3.795 0.000
0.000 0.000 15.326
In Sm Er
4 3 1
Direct
0.000 0.000 0.883 In
0.000 0.000 0.117 In
0.000 0.000 0.372 In
0.000 0.000 0.628 In
0.500 0.500 0.245 Sm
0.500 0.500 0.500 Sm
0.500 0.500 0.755 Sm
0.500 0.500 0.000 Er

We obtain electronic total energy values of -1.1192, -7.8396, -4.4848, -5.0572, -1.1259, -4.5511, -5.7011, -4.1903 eV/atom for the records listed above, in that order.